The following is a DFT calculation (PBE with a Hubbard U) of a relaxed structure of AlCrGeO6.

Summary:
Crystal system: tetragonal
Total magnetic moment (μB per cell): 2.01
Energy (eV per atom): -6.90

Structure (POSCAR):
```
AlCrGeO6
1.0
4.452 0.000 0.000
0.000 4.452 0.000
0.000 0.000 8.731
Al Cr Ge O
2 2 2 12
Direct
0.500 0.500 0.167
0.000 0.000 0.667
0.500 0.500 0.499
0.000 0.000 0.999
0.500 0.500 0.834
0.000 0.000 0.334
0.197 0.803 0.501
0.803 0.197 0.501
0.303 0.303 0.001
0.697 0.697 0.001
0.196 0.804 0.167
0.804 0.196 0.167
0.303 0.303 0.668
0.697 0.697 0.668
0.804 0.196 0.832
0.196 0.804 0.832
0.696 0.696 0.332
0.304 0.304 0.332
```